Entry 1:
## Gd3CCl3 (GGA-PBE)

Data for an optimized crystal structure of Gd3CCl3.

Values from the calculation:
Total moment (μB/f.u.): 0.002
SG: No. 214
Energy (eV for the cell shown): -158.5

Cell lengths 9.353, 9.353, 9.353 Å; angles 109.47, 109.47, 109.47 degrees
Atoms (fractional coordinates):
C 0.750 0.000 0.000
C 0.750 0.750 0.250
C 0.000 0.500 0.250
C 0.500 0.750 0.500
Cl 0.493 0.007 0.250
Cl 0.257 0.243 0.250
Cl 0.750 0.493 0.507
Cl 0.257 0.013 0.507
Cl 0.007 0.257 0.513
Cl 0.750 0.257 0.743
Cl 0.493 0.487 0.743
Cl 0.013 0.007 0.757
Cl 0.243 0.750 0.757
Cl 0.243 0.493 0.987
Cl 0.487 0.243 0.993
Cl 0.007 0.750 0.993
Gd 0.535 0.768 0.018
Gd 0.982 0.250 0.018
Gd 0.768 0.518 0.035
Gd 0.965 0.982 0.232
Gd 0.768 0.250 0.232
Gd 0.518 0.535 0.268
Gd 0.250 0.732 0.268
Gd 0.982 0.732 0.465
Gd 0.732 0.965 0.482
Gd 0.250 0.518 0.482
Gd 0.518 0.982 0.750
Gd 0.732 0.768 0.750

---

Entry 2:
## CsNa3Ag2Sb2 (GGA-PBE)

Data for an optimized crystal structure of CsNa3Ag2Sb2.

Values from the calculation:
SG: No. 6
Energy (eV for the cell shown): -21.2

Cell lengths 6.111, 5.867, 7.228 Å; angles 90.00, 105.83, 90.00 degrees
Atoms (fractional coordinates):
Ag 0.992 0.256 0.001
Ag 0.992 0.744 0.001
Cs 0.553 0.000 0.172
Na 0.181 0.000 0.511
Na 0.826 0.500 0.517
Na 0.479 0.500 0.780
Sb 0.228 0.500 0.316
Sb 0.749 0.000 0.702

---

Entry 3:
## GdTmHg6 (GGA-PBE)

Data for an optimized crystal structure of GdTmHg6.

Values from the calculation:
Total moment (μB/f.u.): 0.000
DFT formation energy (eV per atom): -0.34
SG: No. 187
Energy (eV for the cell shown): -13.6

Cell lengths 6.597, 6.597, 4.993 Å; angles 90.00, 90.00, 120.00 degrees
Atoms (fractional coordinates):
Gd 0.000 0.000 0.000
Hg 0.001 0.501 0.000
Hg 0.499 0.501 0.000
Hg 0.499 0.999 0.000
Hg 0.335 0.167 0.500
Hg 0.833 0.167 0.500
Hg 0.833 0.665 0.500
Tm 0.333 0.667 0.500

---

Entry 4:
## GdHg2 (GGA-PBE)

Data for an optimized crystal structure of GdHg2.

Values from the calculation:
Total moment (μB/f.u.): 0.025
DFT formation energy (eV per atom): -0.41
SG: No. 164
Energy (eV for the cell shown): -6.5

Cell lengths 4.918, 4.918, 3.472 Å; angles 90.00, 90.00, 120.00 degrees
Atoms (fractional coordinates):
Gd 0.000 0.000 0.000
Hg 0.333 0.667 0.490
Hg 0.667 0.333 0.510

---

Entry 5:
## DyEr2Ga3FeGe2 (GGA-PBE)

Data for an optimized crystal structure of DyEr2Ga3FeGe2.

Values from the calculation:
Total moment (μB/f.u.): 0.019
SG: No. 38
Energy (eV for the cell shown): -46.1

Cell lengths 4.125, 6.937, 6.937 Å; angles 120.13, 90.00, 90.00 degrees
Atoms (fractional coordinates):
Dy 0.000 0.599 0.599
Er 0.000 0.000 0.400
Er 0.000 0.400 0.000
Fe 0.000 0.002 0.002
Ga 0.500 0.773 0.001
Ga 0.500 0.227 0.227
Ga 0.500 0.001 0.773
Ge 0.500 0.667 0.332
Ge 0.500 0.332 0.667

---

Entry 6:
## AgPbClO (GGA-PBE)

Data for an optimized crystal structure of AgPbClO.

Values from the calculation:
SG: No. 62
Energy (eV for the cell shown): -63.2

Cell lengths 7.192, 4.408, 10.856 Å; angles 90.00, 90.00, 90.00 degrees
Atoms (fractional coordinates):
Ag 0.455 0.250 0.095
Ag 0.955 0.250 0.405
Ag 0.045 0.750 0.595
Ag 0.545 0.750 0.905
Cl 0.074 0.250 0.127
Cl 0.574 0.250 0.373
Cl 0.426 0.750 0.627
Cl 0.926 0.750 0.873
O 0.467 0.750 0.145
O 0.967 0.750 0.355
O 0.033 0.250 0.645
O 0.533 0.250 0.855
Pb 0.803 0.750 0.173
Pb 0.303 0.750 0.327
Pb 0.697 0.250 0.673
Pb 0.197 0.250 0.827

---

Entry 7:
## DyErNi8B2 (GGA-PBE)

Data for an optimized crystal structure of DyErNi8B2.

Values from the calculation:
Total moment (μB/f.u.): 0.002
SG: No. 191
Energy (eV for the cell shown): -73.1
Polymorph energy (0 for the lowest one) (meV per atom): 0

Cell lengths 4.966, 4.966, 6.972 Å; angles 90.00, 90.00, 120.00 degrees
Atoms (fractional coordinates):
B 0.667 0.333 0.500
B 0.333 0.667 0.500
Dy 0.000 0.000 0.000
Er 0.000 0.000 0.500
Ni 0.667 0.333 0.000
Ni 0.333 0.667 0.000
Ni 0.500 0.000 0.292
Ni 0.000 0.500 0.292
Ni 0.500 0.500 0.292
Ni 0.500 0.000 0.708
Ni 0.000 0.500 0.708
Ni 0.500 0.500 0.708

---

Entry 8:
## NbNiB2 (GGA-PBE)

Data for an optimized crystal structure of NbNiB2.

Values from the calculation:
Total moment (μB/f.u.): 0.001
SG: No. 38
Energy (eV for the cell shown): -30.6
Polymorph energy (0 for the lowest one) (meV per atom): 213

Cell lengths 3.030, 4.438, 4.438 Å; angles 42.20, 90.00, 90.00 degrees
Atoms (fractional coordinates):
B 0.000 0.435 0.435
B 0.500 0.546 0.546
Nb 0.000 0.150 0.150
Ni 0.500 0.869 0.869

---

Entry 9:
## Ir2S3 (GGA-PBE)

Data for an optimized crystal structure of Ir2S3.

Values from the calculation:
Total moment (μB/f.u.): 0.000
SG: No. 163
Energy (eV for the cell shown): -125.2
Polymorph energy (0 for the lowest one) (meV per atom): 117

Cell lengths 6.127, 6.127, 11.059 Å; angles 90.00, 90.00, 120.00 degrees
Atoms (fractional coordinates):
Ir 0.000 0.000 0.000
Ir 0.333 0.667 0.027
Ir 0.667 0.333 0.250
Ir 0.333 0.667 0.473
Ir 0.000 0.000 0.500
Ir 0.667 0.333 0.527
Ir 0.333 0.667 0.750
Ir 0.667 0.333 0.973
S 0.359 0.036 0.108
S 0.964 0.323 0.108
S 0.677 0.641 0.108
S 0.677 0.036 0.392
S 0.359 0.323 0.392
S 0.964 0.641 0.392
S 0.036 0.359 0.608
S 0.641 0.677 0.608
S 0.323 0.964 0.608
S 0.323 0.359 0.892
S 0.036 0.677 0.892
S 0.641 0.964 0.892

---

Entry 10:
## TmAgGeTe3 (GGA-PBE)

Data for an optimized crystal structure of TmAgGeTe3.

Values from the calculation:
Total moment (μB/f.u.): 0.000
SG: No. 63
Energy (eV for the cell shown): -48.8

Cell lengths 7.531, 7.531, 11.042 Å; angles 90.00, 90.00, 32.20 degrees
Atoms (fractional coordinates):
Ag 0.522 0.522 0.250
Ag 0.478 0.478 0.750
Ge 0.214 0.214 0.250
Ge 0.786 0.786 0.750
Te 0.650 0.650 0.060
Te 0.893 0.893 0.250
Te 0.650 0.650 0.440
Te 0.350 0.350 0.560
Te 0.107 0.107 0.750
Te 0.350 0.350 0.940
Tm 0.000 0.000 0.000
Tm 0.000 0.000 0.500

---

Entry 11:
## RbAgSnTe2S (GGA-PBE)

Data for an optimized crystal structure of RbAgSnTe2S.

Values from the calculation:
SG: No. 63
Energy (eV for the cell shown): -41.1

Cell lengths 7.064, 7.064, 11.911 Å; angles 90.00, 90.00, 143.18 degrees
Atoms (fractional coordinates):
Ag 0.438 0.562 0.250
Ag 0.562 0.438 0.750
Rb 0.718 0.282 0.250
Rb 0.282 0.718 0.750
S 0.026 0.974 0.250
S 0.974 0.026 0.750
Sn 0.000 0.000 0.000
Sn 0.000 0.000 0.500
Te 0.344 0.656 0.033
Te 0.344 0.656 0.467
Te 0.656 0.344 0.533
Te 0.656 0.344 0.967

---

Entry 12:
## Rb2ScAgI6 (GGA-PBE)

Data for an optimized crystal structure of Rb2ScAgI6.

Values from the calculation:
Total moment (μB/f.u.): 0.002
SG: No. 225
Energy (eV for the cell shown): -31.4

Cell lengths 8.365, 8.365, 8.365 Å; angles 60.00, 60.00, 60.00 degrees
Atoms (fractional coordinates):
Ag 0.000 0.000 0.000
I 0.745 0.255 0.255
I 0.255 0.745 0.255
I 0.745 0.745 0.255
I 0.255 0.255 0.745
I 0.745 0.255 0.745
I 0.255 0.745 0.745
Rb 0.250 0.250 0.250
Rb 0.750 0.750 0.750
Sc 0.500 0.500 0.500